This record from the Alexandria database describes a relaxed structure of KHgH. The functional is GGA-PBE.

Computed properties:
Crystal system: monoclinic
N(E_F) (states/eV per atom): 0.220
Distance to the lowest polymorph of the same formula (eV/f.u.): 0.005
Calculated volume (A^3/atom): 23.60
Symmetry: P2_1/m, No. 11

Unit cell a=4.077 b=4.094 c=9.412 alpha=90.00 beta=115.65 gamma=90.00
Fractional positions:
1 H 0.921 0.250 0.669
2 H 0.079 0.750 0.331
3 Hg 0.180 0.250 0.930
4 Hg 0.820 0.750 0.070
5 K 0.424 0.750 0.673
6 K 0.576 0.250 0.327